[1]
The following is a DFT calculation (PBE) of a relaxed structure of AlMoIr.

abc: 5.6337 5.6337 2.8920
angles: 75.13 75.13 29.74
Fractional coordinates of all 3 atoms:
Ir 0.3398 0.3398 0.6602
Al 0.9932 0.9932 0.0068
Mo 0.6670 0.6670 0.3330

***

[2]
The following is a DFT calculation (PBE) of a relaxed structure of Al2MoIr.

abc: 4.3339 4.3339 4.3339
angles: 60.00 60.00 60.00
Fractional coordinates of all 4 atoms:
Ir 0.5000 0.5000 0.5000
Al 0.2500 0.2500 0.2500
Al 0.7500 0.7500 0.7500
Mo 0.0000 0.0000 0.0000

Output
Relative energy among the computed polymorphs in eV/atom: 0.108

***

[3]
The following is a DFT calculation (PBE) of a relaxed structure of Al2MoIr.

abc: 8.6557 8.6557 8.6557
angles: 19.05 19.05 19.05
Fractional coordinates of all 4 atoms:
Mo 0.7500 0.7500 0.7500
Ir 0.2500 0.2500 0.2500
Al 0.9952 0.9952 0.9952
Al 0.5048 0.5048 0.5048

Output
Relative energy among the computed polymorphs in eV/atom: 0.185

***

[4]
The following is a DFT calculation (PBE) of a relaxed structure of AlMo2Ir.

abc: 3.1446 3.1446 6.1306
angles: 90.00 90.00 90.00
Fractional coordinates of all 4 atoms:
Mo 0.5000 0.5000 0.2437
Mo 0.0000 0.0000 0.0189
Al 0.0000 0.0000 0.5039
Ir 0.5000 0.5000 0.7334

Output
Relative energy among the computed polymorphs in eV/atom: 0.082

***

[5]
The following is a DFT calculation (PBE) of a relaxed structure of AlMo2Ir.

abc: 4.1779 2.7671 5.8958
angles: 62.19 90.00 90.00
Fractional coordinates of all 4 atoms:
Mo 0.0000 0.5039 0.4952
Mo 0.0000 0.9961 0.0048
Ir 0.5000 0.7500 0.7500
Al 0.5000 0.2500 0.2500

Output
Relative energy among the computed polymorphs in eV/atom: 0.039

***

[6]
The following is a DFT calculation (PBE) of a relaxed structure of AlMo2Ir.

abc: 9.1726 9.1726 9.1726
angles: 17.60 17.60 17.60
Fractional coordinates of all 4 atoms:
Mo 0.4985 0.4985 0.4985
Mo 0.0015 0.0015 0.0015
Al 0.2500 0.2500 0.2500
Ir 0.7500 0.7500 0.7500

Output
Relative energy among the computed polymorphs in eV/atom: 0.267

***

[7]
The following is a DFT calculation (PBE) of a relaxed structure of Al2MoIr.

abc: 3.4805 4.1016 4.1016
angles: 90.00 90.00 90.00
Fractional coordinates of all 4 atoms:
Al 0.0000 0.0000 0.0000
Al 0.0000 0.5000 0.5000
Ir 0.5000 0.5000 0.0000
Mo 0.5000 0.0000 0.5000

Output
Relative energy among the computed polymorphs in eV/atom: 0.087

***

[8]
The following is a DFT calculation (PBE) of a relaxed structure of AlMoIr.

abc: 4.1957 4.1957 4.1957
angles: 60.00 60.00 60.00
Fractional coordinates of all 3 atoms:
Ir 0.7500 0.7500 0.7500
Mo 0.0000 0.0000 0.0000
Al 0.5000 0.5000 0.5000

***

Total DFT energy (no corrections), respectively: -8.304, -7.182, -7.106, -8.814, -8.857, -8.629, -7.203, -8.182 eV/atom.